Entry 1:
Entry from Alexandria via LeMat-Bulk: a relaxed structure of ZnP2CO (PBE).

## Properties
**Energy relative to the lowest polymorph listed for this composition**: 0.0 meV/atom
**D(E_F)**: 1.45 states/eV/f.u.
**Total moment**: 0.00 μB per cell
**Uncorrected formation energy**: 0.965 eV/atom
**Final energy**: -21.450 eV/cell

a b c (Å): 4.3587 4.3587 3.1427
angles (deg): 90.00 90.00 90.00
Atoms (fractional coordinates):
P1 0.0000 0.5000 0.0000
P2 0.5000 0.0000 0.0000
Zn1 0.5000 0.5000 0.5000
C1 0.0000 0.0000 0.0000
O1 0.0000 0.0000 0.5000

***

Entry 2:
Entry from Alexandria via LeMat-Bulk: a relaxed structure of LiHg4Pd2 (PBE).

## Properties
**ΔH_f (0 K)**: -0.12 eV per atom
**Energy relative to the lowest polymorph listed for this composition**: 74.0 meV/atom
**D(E_F)**: 2.98 states/eV/f.u.
**Total moment**: 0.00 μB per cell
**Final energy**: -28.678 eV/cell

a b c (Å): 7.3555 5.8786 7.2519
angles (deg): 90.00 115.91 90.00
Atoms (fractional coordinates):
Li1 0.2760 0.7500 0.3410
Li2 0.7240 0.2500 0.6590
Hg1 0.5579 0.5010 0.2355
Hg2 0.0927 0.7500 0.9134
Hg3 0.9073 0.2500 0.0866
Hg4 0.5579 0.9990 0.2355
Hg5 0.0127 0.2500 0.5319
Hg6 0.4421 0.0010 0.7645
Hg7 0.4421 0.4990 0.7645
Hg8 0.9873 0.7500 0.4681
Pd1 0.7861 0.7500 0.0416
Pd2 0.2139 0.2500 0.9584
Pd3 0.3287 0.2500 0.3935
Pd4 0.6713 0.7500 0.6065

***

Entry 3:
Entry from Alexandria via LeMat-Bulk: a relaxed structure of PmEr3Th2As6 (PBE).

## Properties
**ΔH_f (0 K)**: -1.49 eV per atom
**D(E_F)**: 3.90 states/eV/f.u.
**Total moment**: 0.00 μB per cell
**Final energy**: -79.011 eV/cell

a b c (Å): 4.1778 8.3137 9.3059
angles (deg): 102.62 102.97 90.00
Atoms (fractional coordinates):
Pm1 0.5000 0.0000 0.0000
Er1 0.5000 0.5000 0.0000
Er2 0.8344 0.1663 0.6688
Er3 0.1656 0.8337 0.3312
Th1 0.8346 0.6693 0.6693
Th2 0.1654 0.3307 0.3307
As1 0.3309 0.9224 0.6618
As2 0.6648 0.5886 0.3295
As3 0.6691 0.0776 0.3382
As4 0.9979 0.2561 0.9959
As5 0.0021 0.7439 0.0041
As6 0.3352 0.4114 0.6705

***

Entry 4:
Entry from Alexandria via LeMat-Bulk: a relaxed structure of PrHoCuTc (PBE).

## Properties
**ΔH_f (0 K)**: 0.01 eV per atom
**D(E_F)**: 4.15 states/eV/f.u.
**Total moment**: 0.00 μB per cell
**Final energy**: -23.779 eV/cell

a b c (Å): 4.9585 4.9585 4.9585
angles (deg): 60.00 60.00 60.00
Atoms (fractional coordinates):
Pr1 0.5000 0.5000 0.5000
Ho1 0.0000 0.0000 0.0000
Cu1 0.2500 0.2500 0.2500
Tc1 0.7500 0.7500 0.7500

***

Entry 5:
Entry from Alexandria via LeMat-Bulk: a relaxed structure of SrAl2W (PBE).

## Properties
**ΔH_f (0 K)**: 0.55 eV per atom
**Energy relative to the lowest polymorph listed for this composition**: 405.9 meV/atom
**D(E_F)**: 2.17 states/eV/f.u.
**Total moment**: 1.90 μB per cell
**Final energy**: -19.901 eV/cell

a b c (Å): 4.8601 4.8601 4.8601
angles (deg): 60.00 60.00 60.00
Each line ends with the local moment (μB).
Atoms (fractional coordinates):
Sr1 0.0000 0.0000 0.0000  0.02
Al1 0.2500 0.2500 0.2500  -0.02
Al2 0.7500 0.7500 0.7500  -0.02
W1 0.5000 0.5000 0.5000  1.41

***

Entry 6:
Entry from Alexandria via LeMat-Bulk: a relaxed structure of NbCl (PBE).

## Properties
**D(E_F)**: 1.21 states/eV/f.u.
**Total moment**: 0.00 μB per cell
**Uncorrected formation energy**: -0.227 eV/atom
**Final energy**: -24.739 eV/cell

a b c (Å): 3.0920 3.0920 8.7670
angles (deg): 90.00 90.00 120.00
Atoms (fractional coordinates):
Nb1 0.3333 0.6667 0.6873
Nb2 0.6667 0.3333 0.1873
Cl1 0.3333 0.6667 0.3947
Cl2 0.6667 0.3333 0.8947

***

Entry 7:
Entry from Alexandria via LeMat-Bulk: a relaxed structure of ScPtRh (PBE).

## Properties
**ΔH_f (0 K)**: -0.72 eV per atom
**Energy relative to the lowest polymorph listed for this composition**: 0.0 meV/atom
**D(E_F)**: 3.57 states/eV/f.u.
**Total moment**: 0.00 μB per cell
**Final energy**: -21.888 eV/cell

a b c (Å): 5.0848 5.0848 5.0848
angles (deg): 146.09 137.18 55.71
Atoms (fractional coordinates):
Pt1 0.0034 0.0034 0.0000
Rh1 0.3253 0.3253 0.0000
Sc1 0.6713 0.6713 0.0000

***

Entry 8:
Entry from Alexandria via LeMat-Bulk: a relaxed structure of CsUP2S8 (PBE).

## Properties
**D(E_F)**: 2.33 states/eV/f.u.
**Total moment**: 1.00 μB per cell
**Uncorrected formation energy**: -0.627 eV/atom
**Final energy**: -63.504 eV/cell

a b c (Å): 6.2308 6.2308 10.9072
angles (deg): 73.40 73.40 60.00
Each line ends with the local moment (μB).
Atoms (fractional coordinates):
Cs1 0.5000 0.5000 0.5000  0.00
U1 0.0000 0.0000 0.0000  1.28
P1 0.2610 0.2610 0.2168  0.01
P2 0.7390 0.7390 0.7832  0.01
S1 0.1974 0.1974 0.4079  -0.02
S2 0.5964 0.2918 0.1470  -0.04
S3 0.8026 0.8026 0.5921  -0.02
S4 0.9648 0.5964 0.1470  -0.04
S5 0.0352 0.4036 0.8530  -0.04
S6 0.2918 0.9648 0.1470  -0.04
S7 0.7082 0.0352 0.8530  -0.04
S8 0.4036 0.7082 0.8530  -0.04